No. 1
The following is a meta-GGA SCAN calculation of a crystal of Sb2Ru3 relaxed with PBEsol, from the Alexandria database.

Cell lengths 3.0322, 3.0322, 30.9651 Å; angles 90.00, 90.00, 120.00 degrees
With the nearest neighbours (Å) after each atom.
Space group R-3m (No. 166, hexagonal axes)
Inequivalent atoms, fractional coordinates:
Sb 0.0000 0.0000 0.1003  6 Ru 2.70-2.76
Ru 0.0000 0.0000 0.3018  3 Ru 2.62, 3 Sb 2.76
Ru 0.0000 0.0000 0.5000  6 Sb 2.70

Summary:
Total moment (μB/f.u.): 0.0
Electronic total energy (eV per atom): -35.472
Raw formation energy (eV per atom): 0.328

---

No. 2
The following is a meta-GGA SCAN calculation of a crystal of Si2MoAs relaxed with PBEsol, from the Alexandria database.

Cell lengths 3.3282, 3.3282, 5.2119 Å; angles 90.00, 90.00, 90.00 degrees
With the nearest neighbours (Å) after each atom.
Space group P4/mmm (No. 123)
Inequivalent atoms, fractional coordinates:
Si 0.0000 0.0000 0.2445  2 Si 2.55-2.66, 4 Mo 2.68, 4 As 2.70
Mo 0.5000 0.5000 0.0000  2 As 2.61, 8 Si 2.68
As 0.5000 0.5000 0.5000  2 Mo 2.61, 8 Si 2.70

Summary:
Total moment (μB/f.u.): 0.0
Electronic total energy (eV per atom): -18.592
Raw formation energy (eV per atom): 0.185

---

No. 3
The following is a meta-GGA SCAN calculation of a crystal of Ce2Si2Sn relaxed with PBEsol, from the Alexandria database.

Cell lengths 7.1209, 7.1209, 4.3434 Å; angles 90.00, 90.00, 90.00 degrees
With the nearest neighbours (Å) after each atom.
Space group P4/mbm (No. 127)
Inequivalent atoms, fractional coordinates:
Ce 0.1789 0.3211 0.0000  6 Si 2.99-3.06
Si 0.1165 0.6165 0.5000  1 Si 2.35
Sn 0.0000 0.0000 0.5000  4 Si 2.85

Summary:
Total moment (μB/f.u.): 1.2
Electronic total energy (eV per atom): -29.643
Raw formation energy (eV per atom): -0.627

---

No. 4
The following is a meta-GGA SCAN calculation of a crystal of InSiP3 relaxed with PBEsol, from the Alexandria database.

Cell lengths 4.5299, 4.5299, 4.5299 Å; angles 90.00, 90.00, 90.00 degrees
With the nearest neighbours (Å) after each atom.
Space group Pm-3m (No. 221)
Inequivalent atoms, fractional coordinates:
In 0.0000 0.0000 0.0000  12 P 3.20
Si 0.5000 0.5000 0.5000  6 P 2.26
P 0.0000 0.5000 0.5000  2 Si 2.26

Summary:
Total moment (μB/f.u.): 0.0
Electronic total energy (eV per atom): -14.244
Raw formation energy (eV per atom): 0.675

---

No. 5
The following is a meta-GGA SCAN calculation of a crystal of Sc2ReW relaxed with PBEsol, from the Alexandria database.

Cell lengths 3.1368, 3.1368, 7.5627 Å; angles 90.00, 90.00, 90.00 degrees
With the nearest neighbours (Å) after each atom.
Space group P4mm (No. 99)
Inequivalent atoms, fractional coordinates:
Sc 0.0000 0.0000 0.0000  4 Re 2.80, 4 Sc 3.14
Sc 0.5000 0.5000 0.3422  4 W 2.87, 4 Sc 3.14
Re 0.5000 0.5000 0.7739  4 W 2.65, 4 Sc 2.80
W 0.0000 0.0000 0.5829  4 Re 2.65, 4 Sc 2.87

Summary:
Formation energy (eV per atom): -0.0813
Total moment (μB/f.u.): 0.0
Electronic total energy (eV per atom): -42.396

---

No. 6
The following is a meta-GGA SCAN calculation of a crystal of Bi4I2O5 relaxed with PBEsol, from the Alexandria database.

Cell lengths 11.1744, 5.6866, 14.8511 Å; angles 90.00, 99.41, 90.00 degrees
With the nearest neighbours (Å) after each atom.
Space group P2_1 (No. 4)
Inequivalent atoms, fractional coordinates:
Bi 0.0662 0.0000 0.2141  3 O 2.19-2.38
Bi 0.0909 0.9728 0.9566  3 O 2.21-2.33
Bi 0.1323 0.0755 0.7003  3 O 2.11-2.14
Bi 0.2326 0.5296 0.1178  4 O 2.21-2.45
Bi 0.2331 0.5660 0.3673  3 O 2.20-2.26
Bi 0.2793 0.5745 0.8535  3 O 2.11-2.15
Bi 0.4078 0.0706 0.2928  4 O 2.21-2.33
Bi 0.4227 0.0743 0.5406  4 O 2.27-2.29
I 0.1081 0.0971 0.4463  4 Bi 3.31-3.60, 2 O 3.55-3.60
I 0.2759 0.5766 0.6159  7 Bi 3.52-3.64, 6 O 3.71-3.87
I 0.3838 0.0868 0.0497  3 Bi 3.28-3.58, 1 O 3.55
I 0.4446 0.0748 0.7785  7 Bi 3.49-3.69, 6 O 3.73-3.88
O 0.0509 0.6295 0.2863  2 Bi 2.11-2.22
O 0.0760 0.7838 0.0932  3 Bi 2.19-2.33
O 0.0799 0.2788 0.0886  3 Bi 2.21-2.47
O 0.1378 0.8223 0.8065  2 Bi 2.13-2.15
O 0.1431 0.3231 0.8095  2 Bi 2.11-2.14
O 0.1887 0.6136 0.9666  3 Bi 2.11-2.31
O 0.2490 0.3057 0.2603  3 Bi 2.20-2.45
O 0.2553 0.8186 0.2540  3 Bi 2.23-2.34
O 0.4202 0.8311 0.4184  3 Bi 2.28-2.30
O 0.4232 0.3164 0.4194  3 Bi 2.27-2.33

Summary:
Total moment (μB/f.u.): 0.0
Electronic total energy (eV per atom): -39.118
Raw formation energy (eV per atom): -1.031